(1)
## Rb4TiTl3O8 (PBE)

Data for a geometry-optimized Rb4TiTl3O8 structure.

POSCAR file:
```
Rb4TiTl3O8
1.0
-3.061 3.426 -5.261
-5.645 -5.090 -0.031
1.318 3.296 6.017
Tl O Rb Ti
3 8 4 1
direct
0.500 0.500 0.000
0.500 0.500 0.500
0.000 0.500 0.500
0.228 0.323 0.025
0.274 0.321 0.547
0.772 0.677 0.975
0.202 0.677 0.404
0.798 0.323 0.596
0.202 0.677 0.975
0.726 0.679 0.453
0.798 0.323 0.025
0.500 0.000 0.000
0.000 0.000 0.000
0.500 0.000 0.500
0.000 0.000 0.500
0.000 0.500 0.000
```

Properties
density: 6.897 g/cm3
formation energy (no corrections): -1.310 eV per atom

=====

(2)
## Ag6TeF12 (PBE)

Data for a geometry-optimized Ag6TeF12 structure.

POSCAR file:
```
Ag6TeF12
1.0
-3.297 -4.966 3.482
5.282 -3.693 -2.471
3.191 3.120 5.266
Ag F Te
6 12 1
direct
0.678 0.854 0.399
0.146 0.601 0.322
0.601 0.322 0.146
0.322 0.146 0.601
0.854 0.399 0.678
0.399 0.678 0.854
0.700 0.925 0.011
0.075 0.989 0.300
0.011 0.700 0.925
0.300 0.075 0.989
0.831 0.588 0.381
0.619 0.169 0.412
0.588 0.381 0.831
0.381 0.831 0.588
0.169 0.412 0.619
0.412 0.619 0.169
0.989 0.300 0.075
0.925 0.011 0.700
0.000 0.000 0.000
```

Properties
density: 5.296 g/cm3
formation energy (no corrections): -1.348 eV per atom

=====

(3)
## Sc3BePd (PBE)

Data for a geometry-optimized Sc3BePd structure.

POSCAR file:
```
Sc3BePd
1.0
-4.374 -1.414 1.118
1.750 -2.629 3.522
-0.431 3.670 2.954
Pd Be Sc
1 1 3
direct
0.500 0.500 0.500
0.000 0.000 0.000
0.000 0.000 0.500
0.500 0.000 0.000
0.000 0.500 0.000
```

Properties
density: 3.926 g/cm3
E above lowest polymorph: 0.0000 eV per atom
formation energy from the elements: 0.158 eV/atom

=====

(4)
## Ti4Rh (PBE)

Data for a geometry-optimized Ti4Rh structure.

POSCAR file:
```
Ti4Rh
1.0
5.364 0.000 0.000
0.000 5.771 0.000
0.000 -2.886 5.668
Ti Rh
8 2
direct
0.686 0.702 0.720
0.314 0.018 0.720
0.814 0.202 0.720
0.186 0.482 0.280
0.314 0.982 0.280
0.814 0.798 0.280
0.686 0.298 0.280
0.186 0.518 0.720
0.000 0.000 0.000
0.500 0.500 0.000
```

Properties
density: 5.572 g/cm3
E above lowest polymorph: 0.0000 eV per atom
formation energy from the elements: -0.002 eV/atom

=====

(5)
## Sc2GeAu (PBE)

Data for a geometry-optimized Sc2GeAu structure.

POSCAR file:
```
Sc2GeAu
1.0
-0.321 4.283 1.164
-1.675 -1.197 3.945
7.454 1.227 6.046
Ge Au Sc
2 2 4
direct
0.250 0.750 0.500
0.500 0.500 0.000
0.000 0.000 0.000
0.750 0.250 0.500
0.138 0.625 0.250
0.875 0.862 0.750
0.612 0.125 0.250
0.375 0.388 0.750
```

Properties
density: 6.590 g/cm3
formation energy from the elements: -0.102 eV/atom

=====

(6)
## In2RuS2 (PBE)

Data for a geometry-optimized In2RuS2 structure.

POSCAR file:
```
In2RuS2
1.0
-3.217 4.427 3.495
-5.463 -1.443 -3.200
-1.051 -3.384 3.320
In S Ru
4 4 2
direct
0.165 0.665 0.500
0.835 0.335 0.500
0.665 0.835 0.500
0.335 0.165 0.500
0.683 0.183 0.000
0.817 0.683 0.000
0.317 0.817 0.000
0.183 0.317 0.000
0.500 0.500 0.000
0.000 0.000 0.000
```

Properties
density: 6.405 g/cm3
E above lowest polymorph: 0.0000 eV per atom
formation energy (no corrections): 0.063 eV per atom

=====

no.,E (eV per atom),Fermi-level density of states (states/eV/f.u.)
1,-4.97,1.1
2,-3.60,13.9
3,-5.42,10.3
4,-7.79,6.5
5,-5.24,4.0
6,-4.54,2.7